# 1
Pr2Sm3DyY6 | GGA-PBE | optimized geometry

Output
Its formation energy is 0.013 eV per atom.

Cell: 6.256 10.830 11.891 Å, 90.00 100.05 90.00°
Space group C2/m (No. 12)
Unique sites:
Pr 0.000 0.166 0.000 [4 per cell]
Sm 0.000 0.000 0.500 [2 per cell]
Sm 0.000 0.333 0.500 [4 per cell]
Dy 0.000 0.500 0.000 [2 per cell]
Y 0.249 0.500 0.749 [4 per cell]
Y 0.250 0.166 0.749 [8 per cell]



# 2
PrSmDy2Y6 | GGA-PBE | optimized geometry

Output
Its formation energy is 0.121 eV per atom.

Cell: 9.181 15.041 9.712 Å, 90.00 98.52 90.00°
Space group C2/c (No. 15)
Unique sites:
Pr 0.000 0.093 0.250 [4 per cell]
Sm 0.000 0.475 0.750 [4 per cell]
Dy 0.243 0.450 0.047 [8 per cell]
Y 0.066 0.316 0.443 [8 per cell]
Y 0.098 0.107 0.618 [8 per cell]
Y 0.203 0.275 0.819 [8 per cell]



# 3
Pr6Sm2DyY3 | GGA-PBE | optimized geometry

Output
Its formation energy is 0.009 eV per atom.

Cell: 6.343 10.989 11.988 Å, 90.00 100.13 90.00°
Space group C2/m (No. 12)
Unique sites:
Pr 0.249 0.000 0.249 [4 per cell]
Pr 0.250 0.166 0.751 [8 per cell]
Sm 0.000 0.333 0.500 [4 per cell]
Dy 0.000 0.000 0.500 [2 per cell]
Y 0.000 0.167 0.000 [4 per cell]
Y 0.000 0.500 0.000 [2 per cell]



no.,D(E_F) (states/eV/atom),calculated volume (Å³ per atom)
1,1.257,33.1
2,1.577,33.2
3,1.209,34.3